Computed, not measured: an optimized crystal structure of LiScU at the GGA-PBE level of DFT.

final energy = -4.973 eV per atom
excess energy over the best structure of this formula in the dataset = 0.376 eV per atom
V = 23.929 A^3/atom

Cell: 4.6650 4.6650 4.6650 Å, 60.00 60.00 60.00°
Atoms (fractional coordinates):
1 Li 0.0000 0.0000 0.0000
2 Sc 0.5000 0.5000 0.5000
3 U 0.2500 0.2500 0.2500

Computed, not measured: an optimized crystal structure of SrNd2Sc2O7 at the GGA-PBE level of DFT.

final energy = -8.173 eV per atom
V = 13.828 A^3/atom

Cell: 10.6133 10.6133 10.6133 Å, 158.12 158.12 31.14°
Atoms (fractional coordinates):
1 Sr 0.0000 0.0000 0.0000
2 Nd 0.1825 0.1825 0.0000
3 Nd 0.8175 0.8175 0.0000
4 Sc 0.4005 0.4005 0.0000
5 Sc 0.5995 0.5995 0.0000
6 O 0.1097 0.6097 0.5000
7 O 0.2919 0.2919 0.0000
8 O 0.3903 0.8903 0.5000
9 O 0.5000 0.5000 0.0000
10 O 0.6097 0.1097 0.5000
11 O 0.7081 0.7081 0.0000
12 O 0.8903 0.3903 0.5000

Computed, not measured: an optimized crystal structure of PrNd2Ni2Ge4Pd2 at the GGA-PBE level of DFT.

final energy = -5.749 eV per atom
V = 20.002 A^3/atom

Cell: 12.6951 12.6951 12.6951 Å, 161.32 160.37 27.22°
Atoms (fractional coordinates):
1 Pr 0.0000 0.0000 0.0000
2 Nd 0.3468 0.8468 0.5000
3 Nd 0.6532 0.1532 0.5000
4 Ni 0.2503 0.2503 0.0000
5 Ni 0.7497 0.7497 0.0000
6 Ge 0.2028 0.7028 0.5000
7 Ge 0.4488 0.4488 0.0000
8 Ge 0.5512 0.5512 0.0000
9 Ge 0.7972 0.2972 0.5000
10 Pd 0.1008 0.6008 0.5000
11 Pd 0.8992 0.3992 0.5000

Computed, not measured: an optimized crystal structure of Al2CdAs at the GGA-PBE level of DFT.

final energy = -3.004 eV per atom
V = 19.782 A^3/atom

Cell: 4.8189 4.8189 4.8189 Å, 60.00 60.00 60.00°
Atoms (fractional coordinates):
1 Al 0.0000 0.0000 0.0000
2 Al 0.2500 0.2500 0.2500
3 Cd 0.7500 0.7500 0.7500
4 As 0.5000 0.5000 0.5000

Computed, not measured: an optimized crystal structure of Ho3Sn2Ge2Au4 at the GGA-PBE level of DFT.

final energy = -4.664 eV per atom
V = 21.832 A^3/atom

Cell: 8.7123 8.7123 8.7123 Å, 150.48 132.09 57.29°
Atoms (fractional coordinates):
1 Ho 0.0000 0.0000 0.0000
2 Ho 0.3797 0.8797 0.5000
3 Ho 0.6203 0.1203 0.5000
4 Sn 0.2187 0.2187 0.0000
5 Sn 0.7813 0.7813 0.0000
6 Ge 0.3178 0.5000 0.8178
7 Ge 0.6822 0.5000 0.1822
8 Au 0.0458 0.3427 0.7031
9 Au 0.3603 0.6573 0.7031
10 Au 0.6397 0.3427 0.2969
11 Au 0.9542 0.6573 0.2969

Computed, not measured: an optimized crystal structure of CdSbPO at the GGA-PBE level of DFT.

final energy = -3.950 eV per atom
excess energy over the best structure of this formula in the dataset = 0.365 eV per atom
V = 22.465 A^3/atom

Cell: 4.6903 4.6903 8.1694 Å, 90.00 90.00 90.00°
Atoms (fractional coordinates):
1 Cd 0.2500 0.2500 0.0102
2 Cd 0.7500 0.7500 0.9898
3 Sb 0.2500 0.7500 0.5000
4 Sb 0.7500 0.2500 0.5000
5 P 0.2500 0.2500 0.3525
6 P 0.7500 0.7500 0.6475
7 O 0.2500 0.7500 0.0000
8 O 0.7500 0.2500 0.0000

Computed, not measured: an optimized crystal structure of Na4CdSiPt2 at the GGA-PBE level of DFT.

final energy = -3.113 eV per atom
V = 18.364 A^3/atom

Cell: 4.6532 4.6532 6.7850 Å, 90.00 90.00 90.00°
Atoms (fractional coordinates):
1 Na 0.0000 0.0000 0.0000
2 Na 0.0000 0.5000 0.7440
3 Na 0.5000 0.0000 0.2560
4 Na 0.5000 0.5000 0.5000
5 Cd 0.5000 0.5000 0.0000
6 Si 0.0000 0.0000 0.5000
7 Pt 0.0000 0.5000 0.2933
8 Pt 0.5000 0.0000 0.7067

Computed, not measured: an optimized crystal structure of LuInPb at the GGA-PBE level of DFT.

final energy = -3.612 eV per atom
excess energy over the best structure of this formula in the dataset = 0.127 eV per atom
V = 31.427 A^3/atom

Cell: 5.1087 5.1087 5.1087 Å, 60.00 60.00 60.00°
Atoms (fractional coordinates):
1 Lu 0.0000 0.0000 0.0000
2 In 0.2500 0.2500 0.2500
3 Pb 0.5000 0.5000 0.5000

Computed, not measured: an optimized crystal structure of AcHfGe at the GGA-PBE level of DFT.

final energy = -5.242 eV per atom
excess energy over the best structure of this formula in the dataset = 0.969 eV per atom
V = 32.764 A^3/atom

Cell: 5.1802 5.1802 5.1802 Å, 60.00 60.00 60.00°
Atoms (fractional coordinates):
1 Ac 0.0000 0.0000 0.0000
2 Hf 0.2500 0.2500 0.2500
3 Ge 0.7500 0.7500 0.7500

Computed, not measured: an optimized crystal structure of Re2HgB at the GGA-PBE level of DFT.

final energy = -6.538 eV per atom
V = 14.755 A^3/atom

Cell: 4.3702 4.3702 4.3702 Å, 60.00 60.00 60.00°
Atoms (fractional coordinates):
1 Re 0.0000 0.0000 0.0000
2 Re 0.2500 0.2500 0.2500
3 Hg 0.7500 0.7500 0.7500
4 B 0.5000 0.5000 0.5000

Computed, not measured: an optimized crystal structure of LiDySnPd at the GGA-PBE level of DFT.

final energy = -4.733 eV per atom
V = 19.056 A^3/atom

Cell: 4.7592 4.7592 4.7592 Å, 60.00 60.00 60.00°
Atoms (fractional coordinates):
1 Li 0.0000 0.0000 0.0000
2 Dy 0.2500 0.2500 0.2500
3 Sn 0.7500 0.7500 0.7500
4 Pd 0.5000 0.5000 0.5000

Computed, not measured: an optimized crystal structure of GdBi at the GGA-PBE level of DFT.

final energy = -5.051 eV per atom
excess energy over the best structure of this formula in the dataset = 0.215 eV per atom
V = 32.897 A^3/atom

Cell: 4.3479 4.3479 4.0188 Å, 90.00 90.00 120.00°
Atoms (fractional coordinates):
1 Gd 0.0000 0.0000 0.0000
2 Bi 0.3333 0.6667 0.5000